Compound: Sr2HgRh2
Source: Alexandria via LeMat-Bulk
Functional: GGA-PBE
Structure: optimized geometry

Geometry as CIF:
```
data_Sr2HgRh2
_chemical_formula_sum 'Sr4 Hg2 Rh4'
_space_group_name_H-M_alt 'I 4/m m m'
_space_group_IT_number 139
_space_group_name_Hall '-I 4 2'
_cell_length_a 5.851
_cell_length_b 5.851
_cell_length_c 7.975
_cell_angle_alpha 90.00
_cell_angle_beta 90.00
_cell_angle_gamma 90.00
loop_
_atom_site_label
_atom_site_fract_x
_atom_site_fract_y
_atom_site_fract_z
Sr1 0.000 0.500 0.250
Hg1 0.000 0.000 0.000
Rh1 0.000 0.000 0.342
```

Values from the calculation:
For the formation energy, the calculation gives -49 meV per atom. For the density of states at the Fermi level, the calculation gives 9.778 states/eV per cell. For the electronic total energy, the calculation gives -3.723 eV/atom. The value obtained for the total magnetic moment is 0.04 μB/cell.

Compound: Mo4OsCl
Source: Alexandria via LeMat-Bulk
Functional: GGA-PBE
Structure: optimized geometry

Geometry as CIF:
```
data_Mo4OsCl
_chemical_formula_sum 'Mo16 Os4 Cl4'
_space_group_name_H-M_alt 'F -4 3 m'
_space_group_IT_number 216
_space_group_name_Hall 'F -4 2 3'
_cell_length_a 7.378
_cell_length_b 7.378
_cell_length_c 7.378
_cell_angle_alpha 90.00
_cell_angle_beta 90.00
_cell_angle_gamma 90.00
loop_
_atom_site_label
_atom_site_fract_x
_atom_site_fract_y
_atom_site_fract_z
Mo1 0.124 0.124 0.376
Os1 0.000 0.000 0.000
Cl1 0.250 0.250 0.750
```

Values from the calculation:
For the density of states at the Fermi level, the calculation gives 25.285 states/eV per cell. For the formation energy from raw total energies, the calculation gives 990 meV per atom. For the electronic total energy, the calculation gives -8.410 eV/atom. The value obtained for the total magnetic moment is 0.00 μB/cell.

Compound: Pm4SnBi3
Source: Alexandria via LeMat-Bulk
Functional: GGA-PBE
Structure: optimized geometry

Geometry as CIF:
```
data_Pm4SnBi3
_chemical_formula_sum 'Pm4 Sn1 Bi3'
_space_group_name_H-M_alt 'P m -3 m'
_space_group_IT_number 221
_space_group_name_Hall '-P 4 2 3'
_cell_length_a 6.446
_cell_length_b 6.446
_cell_length_c 6.446
_cell_angle_alpha 90.00
_cell_angle_beta 90.00
_cell_angle_gamma 90.00
loop_
_atom_site_label
_atom_site_fract_x
_atom_site_fract_y
_atom_site_fract_z
Pm1 0.000 0.000 0.000
Pm2 0.000 0.500 0.500
Sn1 0.500 0.500 0.500
Bi1 0.000 0.000 0.500
```

Values from the calculation:
For the formation energy, the calculation gives -845 meV per atom. For the density of states at the Fermi level, the calculation gives 5.299 states/eV per cell. For the electronic total energy, the calculation gives -5.176 eV/atom. The value obtained for the total magnetic moment is 0.00 μB/cell.

Compound: Te2MoWN
Source: Alexandria via LeMat-Bulk
Functional: GGA-PBE
Structure: optimized geometry

Geometry as CIF:
```
data_Te2MoWN
_chemical_formula_sum 'Te2 Mo1 W1 N1'
_space_group_name_H-M_alt 'P 4/m m m'
_space_group_IT_number 123
_space_group_name_Hall '-P 4 2'
_cell_length_a 5.440
_cell_length_b 5.440
_cell_length_c 3.794
_cell_angle_alpha 90.00
_cell_angle_beta 90.00
_cell_angle_gamma 90.00
loop_
_atom_site_label
_atom_site_fract_x
_atom_site_fract_y
_atom_site_fract_z
Te1 0.000 0.500 0.000
Mo1 0.000 0.000 0.500
W1 0.500 0.500 0.000
N1 0.500 0.500 0.500
```

Values from the calculation:
For the density of states at the Fermi level, the calculation gives 4.110 states/eV per cell. For the formation energy from raw total energies, the calculation gives 804 meV per atom. For the electronic total energy, the calculation gives -6.875 eV/atom. The value obtained for the total magnetic moment is 3.87 μB/cell. The calculation puts the energy above the lowest structure with this stoichiometry at 0.0 kJ per mole of atoms.